The following is a PBEsol calculation of a geometry-optimized LiCuP2O6 structure, from the Alexandria database.

Unit cell a=5.0153 b=5.2730 c=5.6026 alpha=90.00 beta=90.00 gamma=118.40
Each line ends with the local moment (μB).
Fractional coordinates of all 10 atoms:
P: 0.0000 0.5000 0.6719  0.00
P: 0.5000 0.5000 0.3281  0.00
O: 0.2659 0.5319 0.5000  0.00
O: 0.6620 0.7772 0.1925  0.00
O: 0.3380 0.2228 0.1925  0.00
O: 0.7341 0.4681 0.5000  0.00
O: 0.1152 0.7772 0.8075  0.00
O: 0.8848 0.2228 0.8075  0.00
Cu: 0.5000 0.0000 0.0000  0.12
Li: 0.0000 0.0000 0.0000  0.00

Results
Theoretical density = 2.91 Mg/m³
ΔE_f (raw) = -1.86 eV per atom
ΔE to the lowest computed polymorph = 3.3 kJ/mol of atoms

---

The following is a PBEsol calculation of a geometry-optimized NdSbPt structure, from the Alexandria database.

Unit cell a=4.5454 b=4.5454 c=7.8130 alpha=90.00 beta=90.00 gamma=120.00
Fractional coordinates of all 6 atoms:
Sb: 0.6667 0.3333 0.2689
Sb: 0.3333 0.6667 0.7689
Nd: 0.0000 0.0000 0.5048
Nd: 0.0000 0.0000 0.0048
Pt: 0.3333 0.6667 0.2023
Pt: 0.6667 0.3333 0.7023

Results
Theoretical density = 10.95 Mg/m³
ΔE_f (raw) = -1.12 eV per atom

---

The following is a PBEsol calculation of a geometry-optimized SbSI structure, from the Alexandria database.

Unit cell a=4.0298 b=8.4472 c=10.1819 alpha=90.00 beta=90.00 gamma=90.00
Fractional coordinates of all 12 atoms:
Sb: 0.7500 0.6211 0.6250
Sb: 0.2500 0.8789 0.1250
Sb: 0.2500 0.3789 0.3750
Sb: 0.7500 0.1211 0.8750
I: 0.7500 0.5173 0.1731
I: 0.7500 0.0173 0.3269
I: 0.2500 0.4827 0.8269
I: 0.2500 0.9827 0.6731
S: 0.2500 0.1588 0.0448
S: 0.7500 0.3412 0.5448
S: 0.2500 0.6588 0.4552
S: 0.7500 0.8412 0.9552

Results
Theoretical density = 5.38 Mg/m³
ΔE_f (raw) = -0.33 eV per atom

---

The following is a PBEsol calculation of a geometry-optimized Tl2ICl structure, from the Alexandria database.

Unit cell a=7.3736 b=7.3736 c=8.8988 alpha=114.48 beta=114.48 gamma=90.00
Fractional coordinates of all 8 atoms:
Tl: 0.8386 0.3750 0.2500
Tl: 0.6250 0.5886 0.7500
Tl: 0.4114 0.8750 0.2500
Tl: 0.1250 0.1614 0.7500
I: 0.2500 0.7500 0.5000
I: 0.0000 0.0000 0.0000
Cl: 0.5000 0.5000 0.0000
Cl: 0.7500 0.2500 0.5000

Results
Theoretical density = 4.84 Mg/m³
ΔE_f (raw) = -0.63 eV per atom
ΔE to the lowest computed polymorph = 8.1 kJ/mol of atoms

---

The following is a PBEsol calculation of a geometry-optimized Ac2TlCd structure, from the Alexandria database.

Unit cell a=5.6923 b=5.6923 c=5.6923 alpha=60.00 beta=60.00 gamma=60.00
Fractional coordinates of all 4 atoms:
Cd: 0.5000 0.5000 0.5000
Tl: 0.0000 0.0000 0.0000
Ac: 0.7500 0.7500 0.7500
Ac: 0.2500 0.2500 0.2500

Results
Theoretical density = 9.81 Mg/m³
Calculated formation energy = -0.347 eV per atom

---

The following is a PBEsol calculation of a geometry-optimized VPO5 structure, from the Alexandria database.

Unit cell a=4.3716 b=6.0496 c=6.0496 alpha=90.00 beta=90.00 gamma=90.00
Fractional coordinates of all 14 atoms:
O: 0.8476 0.0000 0.5000
O: 0.2950 0.7012 0.4555
O: 0.2950 0.0445 0.2012
O: 0.2950 0.2988 0.5445
O: 0.1524 0.5000 0.0000
O: 0.7050 0.5445 0.7012
O: 0.2950 0.9555 0.7988
O: 0.7050 0.4555 0.2988
O: 0.7050 0.7988 0.0445
O: 0.7050 0.2012 0.9555
P: 0.5000 0.5000 0.5000
P: 0.5000 0.0000 0.0000
V: 0.2109 0.0000 0.5000
V: 0.7891 0.5000 0.0000

Results
Theoretical density = 3.36 Mg/m³
ΔE_f (raw) = -2.25 eV per atom
ΔE to the lowest computed polymorph = 0.6 kJ/mol of atoms

---

Q: Which value of theoretical density does entry 4 give?
A: 4.84 Mg/m³

---

Q: Look up the theoretical density of the third one.
A: 5.38 Mg/m³

---

Please write out number 4 again, unchanged.
The following is a PBEsol calculation of a geometry-optimized Tl2ICl structure, from the Alexandria database.

Unit cell a=7.3736 b=7.3736 c=8.8988 alpha=114.48 beta=114.48 gamma=90.00
Fractional coordinates of all 8 atoms:
Tl: 0.8386 0.3750 0.2500
Tl: 0.6250 0.5886 0.7500
Tl: 0.4114 0.8750 0.2500
Tl: 0.1250 0.1614 0.7500
I: 0.2500 0.7500 0.5000
I: 0.0000 0.0000 0.0000
Cl: 0.5000 0.5000 0.0000
Cl: 0.7500 0.2500 0.5000

Results
Theoretical density = 4.84 Mg/m³
ΔE_f (raw) = -0.63 eV per atom
ΔE to the lowest computed polymorph = 8.1 kJ/mol of atoms